(1)
Entry from the Alexandria database: an optimized crystal structure of TlV2HgO6 (GGA+U).

Raw total energy in eV per cell: -244.83
N(E_F) in states/eV per cell: 19.1

Cell lengths 11.526, 11.622, 6.030 Å; angles 90.00, 106.58, 90.00 degrees
Space group C2/c (No. 15)
Unique sites:
Tl 0.000 0.115 0.250 (multiplicity 4)
V 0.197 0.426 0.205 (multiplicity 8)
Hg 0.000 0.251 0.750 (multiplicity 4)
O 0.133 0.294 0.138 (multiplicity 8)
O 0.151 0.088 0.710 (multiplicity 8)
O 0.151 0.485 0.447 (multiplicity 8)


(2)
Entry from the Alexandria database: an optimized crystal structure of TlVHgO4 (GGA+U).

Raw total energy in eV per cell: -76.22
N(E_F) in states/eV per cell: 0.0

Cell lengths 6.349, 6.154, 7.155 Å; angles 90.00, 102.48, 90.00 degrees
Space group P2_1/m (No. 11)
Unique sites:
Tl 0.225 0.250 0.404 (multiplicity 2)
V 0.198 0.750 0.110 (multiplicity 2)
Hg 0.336 0.250 0.912 (multiplicity 2)
O 0.002 0.750 0.251 (multiplicity 2)
O 0.086 0.750 0.875 (multiplicity 2)
O 0.371 0.517 0.165 (multiplicity 4)


(3)
Entry from the Alexandria database: an optimized crystal structure of TlVHgO5 (GGA+U).

Raw total energy in eV per cell: -173.42

Cell lengths 8.237, 9.176, 7.935 Å; angles 90.00, 116.71, 90.00 degrees
Space group C2/c (No. 15)
Unique sites:
Tl 0.000 0.000 0.000 (multiplicity 4)
V 0.000 0.354 0.250 (multiplicity 4)
Hg 0.000 0.321 0.750 (multiplicity 4)
O 0.000 0.092 0.750 (multiplicity 4)
O 0.034 0.245 0.092 (multiplicity 8)
O 0.186 0.474 0.368 (multiplicity 8)


(4)
Entry from the Alexandria database: an optimized crystal structure of TlVHg2O4 (GGA+U).

Raw total energy in eV per cell: -150.30
N(E_F) in states/eV per cell: 11.6

Cell lengths 6.670, 8.373, 10.883 Å; angles 90.00, 90.00, 90.00 degrees
Space group Fmm2 (No. 42)
Unique sites:
Tl 0.000 0.000 0.000 (multiplicity 4)
V 0.000 0.000 0.566 (multiplicity 4)
Hg 0.250 0.250 0.294 (multiplicity 8)
O 0.000 0.169 0.475 (multiplicity 8)
O 0.217 0.000 0.661 (multiplicity 8)


(5)
Entry from the Alexandria database: an optimized crystal structure of Tl2VHgO4 (GGA+U).

Raw total energy in eV per cell: -82.23
N(E_F) in states/eV per cell: 6.0

Cell lengths 8.041, 6.975, 5.770 Å; angles 90.00, 90.00, 90.00 degrees
Space group Pmn2_1 (No. 31)
Unique sites:
Tl 0.235 0.170 0.000 (multiplicity 4)
V 0.000 0.384 0.526 (multiplicity 2)
Hg 0.000 0.728 0.001 (multiplicity 2)
O 0.000 0.399 0.834 (multiplicity 2)
O 0.000 0.620 0.411 (multiplicity 2)
O 0.175 0.260 0.435 (multiplicity 4)


no.,M_tot (μB/atom)
1,0.028
2,0.000
3,0.000
4,0.000
5,0.000